Material: KInTc
Method: DFT, PBE
State: optimized geometry

## Properties
- raw total energy (eV/atom) = -3.52
- total magnetization (μB/f.u.) = 2.7
- calculated formation energy (eV/atom) = 1.2138
- space group = F-43m
- relative energy among the computed polymorphs (eV per atom) = 0.523

The structure in POSCAR format:
```
KInTc
1.0
7.0755 0.0000 0.0000
0.0000 7.0755 0.0000
0.0000 0.0000 7.0755
K In Tc
4 4 4
Direct
0.0000 0.0000 0.0000
0.0000 0.5000 0.5000
0.5000 0.0000 0.5000
0.5000 0.5000 0.0000
0.0000 0.0000 0.5000
0.0000 0.5000 0.0000
0.5000 0.0000 0.0000
0.5000 0.5000 0.5000
0.2500 0.2500 0.7500
0.2500 0.7500 0.2500
0.7500 0.2500 0.2500
0.7500 0.7500 0.7500
```